Entry 1:
Compound: BaNa2Sr3Ca8
Source: the Alexandria database
Functional: PBE
Structure: optimized geometry

## Properties
Total DFT energy (no corrections): -1.7344 eV/atom
ΔE_f: 96 meV/atom
Total magnetic moment: 0.00 Bohr magnetons per cell

```
data_BaNa2Sr3Ca8
_cell_length_a 7.3115
_cell_length_b 7.3115
_cell_length_c 14.4275
_cell_angle_alpha 90.00
_cell_angle_beta 90.00
_cell_angle_gamma 120.00
_symmetry_space_group_name_H-M 'P -3 m 1'
_symmetry_Int_Tables_number 164
_symmetry_space_group_name_Hall '-P 3 2"'
loop_
_atom_site_label
_atom_site_type_symbol
_atom_site_fract_x
_atom_site_fract_y
_atom_site_fract_z
Ba1 Ba 0.0000 0.0000 0.0000
Na1 Na 0.3333 0.6667 0.5709
Sr1 Sr 0.0000 0.0000 0.5000
Sr2 Sr 0.3333 0.6667 0.0540
Ca1 Ca 0.1669 0.3338 0.7752
Ca2 Ca 0.3333 0.6667 0.3311
```

---

Entry 2:
Compound: Ba3Na2Sr8Ca
Source: the Alexandria database
Functional: PBE
Structure: optimized geometry

## Properties
Total DFT energy (no corrections): -1.6357 eV/atom
ΔE_f: 69 meV/atom
Total magnetic moment: 0.00 Bohr magnetons per cell

```
data_Ba3Na2Sr8Ca
_cell_length_a 7.7840
_cell_length_b 7.7840
_cell_length_c 15.1795
_cell_angle_alpha 90.00
_cell_angle_beta 90.00
_cell_angle_gamma 120.00
_symmetry_space_group_name_H-M 'P -3 m 1'
_symmetry_Int_Tables_number 164
_symmetry_space_group_name_Hall '-P 3 2"'
loop_
_atom_site_label
_atom_site_type_symbol
_atom_site_fract_x
_atom_site_fract_y
_atom_site_fract_z
Ba1 Ba 0.0000 0.0000 0.0000
Ba2 Ba 0.3333 0.6667 0.5508
Na1 Na 0.3333 0.6667 0.0813
Sr1 Sr 0.1664 0.3327 0.2848
Sr2 Sr 0.3333 0.6667 0.8402
Ca1 Ca 0.0000 0.0000 0.5000
```

---

Entry 3:
Compound: BaNaSr3Ca
Source: the Alexandria database
Functional: PBE
Structure: optimized geometry

## Properties
Total DFT energy (no corrections): -1.6928 eV/atom
ΔE_f: 22 meV/atom
Total magnetic moment: 0.00 Bohr magnetons per cell

```
data_BaNaSr3Ca
_cell_length_a 8.599
_cell_length_b 6.190
_cell_length_c 12.284
_cell_angle_alpha 90.00
_cell_angle_beta 109.73
_cell_angle_gamma 90.00
_symmetry_space_group_name_H-M 'P 1 21/m 1'
_symmetry_Int_Tables_number 11
loop_
_symmetry_equiv_pos_as_xyz
'x,y,z'
'-x,-y,-z'
'-x,y+1/2,-z'
'x,-y+1/2,z'
loop_
_atom_site_label
_atom_site_type_symbol
_atom_site_fract_x
_atom_site_fract_y
_atom_site_fract_z
Ba1 Ba 0.110 0.250 0.290
Na1 Na 0.373 0.750 0.863
Sr1 Sr 0.147 0.250 0.952
Sr2 Sr 0.367 0.750 0.545
Sr3 Sr 0.390 0.750 0.197
Ca1 Ca 0.122 0.250 0.616
```

---

Entry 4:
Compound: BaNa2Sr2Ca
Source: the Alexandria database
Functional: PBE
Structure: optimized geometry

## Properties
Total DFT energy (no corrections): -1.5869 eV/atom
ΔE_f: 67 meV/atom
Total magnetic moment: 0.00 Bohr magnetons per cell

```
data_BaNa2Sr2Ca
_cell_length_a 7.540
_cell_length_b 8.066
_cell_length_c 9.990
_cell_angle_alpha 90.00
_cell_angle_beta 98.24
_cell_angle_gamma 90.00
_symmetry_space_group_name_H-M 'P 1 21/m 1'
_symmetry_Int_Tables_number 11
loop_
_symmetry_equiv_pos_as_xyz
'x,y,z'
'-x,-y,-z'
'-x,y+1/2,-z'
'x,-y+1/2,z'
loop_
_atom_site_label
_atom_site_type_symbol
_atom_site_fract_x
_atom_site_fract_y
_atom_site_fract_z
Ba1 Ba 0.195 0.250 0.190
Na1 Na 0.017 0.750 0.476
Na2 Na 0.472 0.750 0.474
Sr1 Sr 0.310 0.004 0.815
Ca1 Ca 0.179 0.750 0.135
```

---

Entry 5:
Compound: Ba2NaSr5Ca2
Source: the Alexandria database
Functional: PBE
Structure: optimized geometry

## Properties
Total DFT energy (no corrections): -1.6587 eV/atom
ΔE_f: 99 meV/atom
Total magnetic moment: 0.01 Bohr magnetons per cell

```
data_Ba2NaSr5Ca2
_cell_length_a 13.627
_cell_length_b 13.627
_cell_length_c 6.061
_cell_angle_alpha 90.00
_cell_angle_beta 90.00
_cell_angle_gamma 90.00
_symmetry_space_group_name_H-M 'P 4/m b m'
_symmetry_Int_Tables_number 127
_symmetry_space_group_name_Hall '-P 4 2ab'
loop_
_atom_site_label
_atom_site_type_symbol
_atom_site_fract_x
_atom_site_fract_y
_atom_site_fract_z
Ba1 Ba 0.179 0.321 0.000
Na1 Na 0.000 0.000 0.000
Sr1 Sr 0.000 0.500 0.500
Sr2 Sr 0.070 0.796 0.500
Ca1 Ca 0.113 0.613 0.000
```

---

Entry 6:
Compound: Ba5NaSr2Ca
Source: the Alexandria database
Functional: PBE
Structure: optimized geometry

## Properties
Total DFT energy (no corrections): -1.7395 eV/atom
ΔE_f: 71 meV/atom
Total magnetic moment: 0.00 Bohr magnetons per cell

```
data_Ba5NaSr2Ca
_cell_length_a 6.745
_cell_length_b 24.789
_cell_length_c 12.545
_cell_angle_alpha 90.00
_cell_angle_beta 90.00
_cell_angle_gamma 90.00
_symmetry_space_group_name_H-M 'C m c m'
_symmetry_Int_Tables_number 63
_symmetry_space_group_name_Hall '-C 2c 2'
loop_
_atom_site_label
_atom_site_type_symbol
_atom_site_fract_x
_atom_site_fract_y
_atom_site_fract_z
Ba1 Ba 0.000 0.000 0.000
Ba2 Ba 0.000 0.141 0.250
Ba3 Ba 0.000 0.219 0.575
Ba4 Ba 0.000 0.489 0.250
Na1 Na 0.000 0.095 0.750
Sr1 Sr 0.000 0.388 0.524
Ca1 Ca 0.000 0.310 0.250
```